Record 1
A plane-wave DFT calculation with GGA-PBE was carried out for a geometry-optimized AgSnB structure.

Properties
As for the calculated total energy: -4.015 eV per atom. The calculation puts the formation energy at 0.50 eV per atom. As for the space group: P1. The calculation puts the volume at 113 Å³ per cell. As for the magnetic moment: 0.0 μB per cell. The density comes out at 7.0 g/cm3.

Cell and atoms, written as POSCAR:
```
AgSnB
1.0
3.754 0.000 0.000
1.858 4.922 0.000
0.016 1.531 6.128
Ag Sn B
2 2 2
Direct
0.000 0.000 0.000
0.467 0.069 0.357
0.722 0.566 0.711
0.740 0.524 0.206
0.087 0.840 0.666
0.918 0.172 0.578
```

---

Record 2
A plane-wave DFT calculation with GGA-PBE was carried out for a geometry-optimized LiTm2MgRh4 structure.

Properties
As for the calculated total energy: -5.909 eV per atom. The calculation puts the formation energy at -0.68 eV per atom. As for the space group: R-3m. The calculation puts the volume at 134 Å³ per cell. As for the magnetic moment: 0.0 μB per cell. The density comes out at 9.7 g/cm3.

Cell and atoms, written as POSCAR:
```
LiTm2MgRh4
1.0
2.279 1.316 7.430
-2.279 1.316 7.430
0.000 -2.632 7.430
Li Tm Mg Rh
1 2 1 4
Direct
0.000 0.000 0.000
0.252 0.252 0.252
0.748 0.748 0.748
0.500 0.500 0.500
0.126 0.126 0.126
0.376 0.376 0.376
0.624 0.624 0.624
0.874 0.874 0.874
```

---

Record 3
A plane-wave DFT calculation with GGA-PBE was carried out for a geometry-optimized SrYSi2 structure.

Properties
As for the calculated total energy: -4.907 eV per atom. As for the space group: R-3m. As for the raw formation energy: -0.1594 eV/atom. The calculation puts the volume at 324 Å³ per cell. As for the magnetic moment: 0.0 μB per cell. The density comes out at 3.6 g/cm3.

Cell and atoms, written as POSCAR:
```
SrYSi2
1.0
3.810 0.000 0.000
-1.905 3.299 0.000
0.000 0.000 25.748
Sr Y Si
3 3 6
Direct
0.000 0.000 0.000
0.333 0.667 0.667
0.667 0.333 0.333
0.000 0.000 0.500
0.333 0.667 0.167
0.667 0.333 0.833
0.000 0.000 0.245
0.000 0.000 0.755
0.333 0.667 0.422
0.333 0.667 0.911
0.667 0.333 0.089
0.667 0.333 0.578
```

---

Record 4
A plane-wave DFT calculation with GGA-PBE was carried out for a geometry-optimized Ta2Fe structure.

Properties
As for the calculated total energy: -10.054 eV per atom. The calculation puts the formation energy at 0.67 eV per atom. As for the space group: Fd-3m. The calculation puts the volume at 108 Å³ per cell. As for the magnetic moment: 4.6 μB per cell. The density comes out at 12.9 g/cm3.

Cell and atoms, written as POSCAR:
```
Ta2Fe
1.0
0.000 3.778 3.778
3.778 0.000 3.778
3.778 3.778 0.000
Ta Fe
4 2
Direct
0.000 0.000 0.000
0.000 0.000 0.500
0.000 0.500 0.000
0.500 0.000 0.000
0.375 0.375 0.375
0.625 0.625 0.625
```

---

Record 5
A plane-wave DFT calculation with GGA-PBE was carried out for a geometry-optimized CdAsAu2 structure.

Properties
As for the calculated total energy: -2.948 eV per atom. The calculation puts the formation energy at 0.08 eV per atom. As for the space group: R3m. The calculation puts the volume at 242 Å³ per cell. As for the magnetic moment: 0.0 μB per cell. The density comes out at 12.0 g/cm3.

Cell and atoms, written as POSCAR:
```
CdAsAu2
1.0
3.335 0.000 0.000
-1.668 2.888 0.000
0.000 0.000 25.120
Cd As Au
3 3 6
Direct
0.000 0.000 0.000
0.333 0.667 0.667
0.667 0.333 0.333
0.000 0.000 0.240
0.333 0.667 0.907
0.667 0.333 0.574
0.000 0.000 0.501
0.000 0.000 0.751
0.333 0.667 0.168
0.333 0.667 0.418
0.667 0.333 0.084
0.667 0.333 0.835
```

---

Record 6
A plane-wave DFT calculation with GGA-PBE was carried out for a geometry-optimized ScSiOs structure.

Properties
As for the calculated total energy: -7.836 eV per atom. As for the space group: P3m1. As for the raw formation energy: -0.1746 eV/atom. The calculation puts the volume at 50 Å³ per cell. As for the magnetic moment: 0.0 μB per cell. The density comes out at 8.7 g/cm3.

Cell and atoms, written as POSCAR:
```
ScSiOs
1.0
3.127 0.000 0.000
-1.563 2.708 0.000
0.000 0.000 5.952
Sc Si Os
1 1 1
Direct
0.000 0.000 0.000
0.667 0.333 0.366
0.333 0.667 0.640
```

---

Record 7
A plane-wave DFT calculation with GGA-PBE was carried out for a geometry-optimized MnCd2Hg structure.

Properties
As for the calculated total energy: -2.590 eV per atom. The calculation puts the formation energy at 0.24 eV per atom. As for the space group: I4/mmm. The calculation puts the volume at 162 Å³ per cell. As for the magnetic moment: 7.6 μB per cell. The density comes out at 9.9 g/cm3.

Cell and atoms, written as POSCAR:
```
MnCd2Hg
1.0
4.319 0.000 0.000
0.000 4.319 0.000
0.000 0.000 8.676
Mn Cd Hg
2 4 2
Direct
0.000 0.000 0.000
0.500 0.500 0.500
0.000 0.500 0.250
0.000 0.500 0.750
0.500 0.000 0.250
0.500 0.000 0.750
0.000 0.000 0.500
0.500 0.500 0.000
```

---

Record 8
A plane-wave DFT calculation with GGA-PBE was carried out for a geometry-optimized Rb2ScUS4 structure.

Properties
As for the calculated total energy: -6.023 eV per atom. As for the space group: P2/m. As for the raw formation energy: -1.5145 eV/atom. The calculation puts the volume at 211 Å³ per cell. As for the magnetic moment: 3.0 μB per cell. The density comes out at 4.6 g/cm3.

Cell and atoms, written as POSCAR:
```
Rb2ScUS4
1.0
6.861 0.000 0.000
0.000 3.992 0.000
-2.299 0.000 7.691
Rb Sc U S
2 1 1 4
Direct
0.000 0.000 0.000
0.500 0.500 0.000
0.000 0.500 0.500
0.500 0.000 0.500
0.220 0.000 0.686
0.259 0.500 0.309
0.741 0.500 0.691
0.780 0.000 0.314
```

---

Record 9
A plane-wave DFT calculation with GGA-PBE was carried out for a geometry-optimized DyZrBeZn structure.

Properties
As for the calculated total energy: -4.598 eV per atom. The calculation puts the formation energy at -0.06 eV per atom. As for the space group: F-43m. The calculation puts the volume at 307 Å³ per cell. As for the magnetic moment: 0.0 μB per cell. The density comes out at 7.1 g/cm3.

Cell and atoms, written as POSCAR:
```
DyZrBeZn
1.0
6.744 0.000 0.000
0.000 6.744 0.000
0.000 0.000 6.744
Dy Zr Be Zn
4 4 4 4
Direct
0.000 0.000 0.000
0.000 0.500 0.500
0.500 0.000 0.500
0.500 0.500 0.000
0.000 0.000 0.500
0.000 0.500 0.000
0.500 0.000 0.000
0.500 0.500 0.500
0.250 0.250 0.750
0.250 0.750 0.250
0.750 0.250 0.250
0.750 0.750 0.750
0.250 0.250 0.250
0.250 0.750 0.750
0.750 0.250 0.750
0.750 0.750 0.250
```

---

Record 10
A plane-wave DFT calculation with GGA-PBE was carried out for a geometry-optimized ErZrSc2 structure.

Properties
As for the calculated total energy: -6.304 eV per atom. The calculation puts the formation energy at 0.14 eV per atom. As for the space group: Fm-3m. The calculation puts the volume at 404 Å³ per cell. As for the magnetic moment: 4.3 μB per cell. The density comes out at 5.7 g/cm3.

Cell and atoms, written as POSCAR:
```
ErZrSc2
1.0
7.390 0.000 0.000
0.000 7.390 0.000
0.000 0.000 7.390
Er Zr Sc
4 4 8
Direct
0.000 0.000 0.000
0.000 0.500 0.500
0.500 0.000 0.500
0.500 0.500 0.000
0.000 0.000 0.500
0.000 0.500 0.000
0.500 0.000 0.000
0.500 0.500 0.500
0.250 0.250 0.250
0.250 0.250 0.750
0.250 0.750 0.250
0.250 0.750 0.750
0.750 0.250 0.250
0.750 0.250 0.750
0.750 0.750 0.250
0.750 0.750 0.750
```

---

Record 11
A plane-wave DFT calculation with GGA-PBE was carried out for a geometry-optimized VGe2Br structure.

Properties
As for the calculated total energy: -4.251 eV per atom. As for the space group: Fm-3m. As for the raw formation energy: 0.7554 eV/atom. The calculation puts the volume at 322 Å³ per cell. As for the magnetic moment: 12.5 μB per cell. The density comes out at 5.7 g/cm3.

Cell and atoms, written as POSCAR:
```
VGe2Br
1.0
6.856 0.000 0.000
0.000 6.856 0.000
0.000 0.000 6.856
V Ge Br
4 8 4
Direct
0.000 0.000 0.000
0.000 0.500 0.500
0.500 0.000 0.500
0.500 0.500 0.000
0.250 0.250 0.250
0.250 0.250 0.750
0.250 0.750 0.250
0.250 0.750 0.750
0.750 0.250 0.250
0.750 0.250 0.750
0.750 0.750 0.250
0.750 0.750 0.750
0.000 0.000 0.500
0.000 0.500 0.000
0.500 0.000 0.000
0.500 0.500 0.500
```

---

Record 12
A plane-wave DFT calculation with GGA-PBE was carried out for a geometry-optimized SnPbSe2 structure.

Properties
As for the calculated total energy: -4.168 eV per atom. As for the space group: R-3m. As for the raw formation energy: -0.4983 eV/atom. The calculation puts the volume at 345 Å³ per cell. As for the magnetic moment: 0.0 μB per cell. The density comes out at 7.0 g/cm3.

Cell and atoms, written as POSCAR:
```
SnPbSe2
1.0
4.331 0.000 0.000
-2.166 3.751 0.000
0.000 0.000 21.241
Sn Pb Se
3 3 6
Direct
0.000 0.000 0.000
0.333 0.667 0.667
0.667 0.333 0.333
0.000 0.000 0.500
0.333 0.667 0.167
0.667 0.333 0.833
0.000 0.000 0.253
0.000 0.000 0.747
0.333 0.667 0.414
0.333 0.667 0.919
0.667 0.333 0.081
0.667 0.333 0.586
```